# 1
A plane-wave DFT calculation with PBE was carried out for KNiAg after structural relaxation.

Cell lengths 6.3358, 6.3357, 3.5271 Å; angles 73.84, 73.84, 32.32 degrees
Last column: nearest neighbours and their distance in Å.
Element x y z (fractional)
1 Ag 0.0562 0.0562 0.9438  4 Ni 2.57
2 K 0.3340 0.3339 0.6660  1 Ni 3.21, 5 Ag 3.24-3.59, 4 K 3.53
3 Ni 0.6098 0.6098 0.3902  4 Ag 2.57

Summary:
As for the total magnetic moment: 0.0 μB/f.u. The volume comes out at 24.152 A^3/atom. The value obtained for the formation energy is 0.445 eV per atom. As for the relative energy among the computed polymorphs: 39 meV per atom. For the density of states at the Fermi level, the calculation gives 1.78 states/eV/f.u.


# 2
A plane-wave DFT calculation with PBE was carried out for Th4SbTe2S after structural relaxation.

Cell lengths 4.3590, 7.5486, 7.7079 Å; angles 109.22, 90.00, 90.00 degrees
Last column: nearest neighbours and their distance in Å.
Element x y z (fractional)
1 Th 0.5000 0.2718 0.2272  1 S 2.83, 2 Sb 3.11, 2 Te 3.12
2 Th 0.5000 0.7282 0.7728  1 S 2.83, 2 Sb 3.11, 2 Te 3.12
3 Th 0.0000 0.2864 0.7871  2 S 2.88, 1 Sb 3.11, 1 Te 3.14
4 Th 0.0000 0.7136 0.2129  2 S 2.88, 1 Sb 3.11, 1 Te 3.14
5 Sb 0.0000 0.0000 0.0000  6 Th 3.11
6 Te 0.5000 0.0000 0.5000  6 Th 3.34-3.39
7 Te 0.0000 0.5000 0.5000  6 Th 3.12-3.14
8 S 0.5000 0.5000 0.0000  6 Th 2.83-2.88

Summary:
As for the total magnetic moment: 0.0 μB/f.u. The volume comes out at 29.936 A^3/atom. For the uncorrected formation energy, the calculation gives -9.4 eV per formula unit. For the density of states at the Fermi level, the calculation gives 6.38 states/eV/f.u.


# 3
A plane-wave DFT calculation with PBE was carried out for CsPmS4 after structural relaxation.

Cell lengths 6.0945, 6.0945, 8.7494 Å; angles 90.00, 90.00, 90.00 degrees
Last column: nearest neighbours and their distance in Å.
Element x y z (fractional)
1 Cs 0.5000 0.5000 0.5000  8 S 3.63
2 Cs 0.0000 0.0000 0.5000  8 S 3.63
3 Pm 0.5000 0.5000 0.0000  8 S 2.94
4 Pm 0.0000 0.0000 0.0000  8 S 2.94
5 S 0.6226 0.8774 0.1906  1 S 2.11
6 S 0.1226 0.6226 0.1906  1 S 2.11
7 S 0.8774 0.3774 0.1906  1 S 2.11
8 S 0.6226 0.1226 0.8094  1 S 2.11
9 S 0.3774 0.8774 0.8094  1 S 2.11
10 S 0.3774 0.1226 0.1906  1 S 2.11
11 S 0.8774 0.6226 0.8094  1 S 2.11
12 S 0.1226 0.3774 0.8094  1 S 2.11

Summary:
As for the total magnetic moment: 0.0 μB/f.u. The volume comes out at 27.082 A^3/atom. For the uncorrected formation energy, the calculation gives -7.3 eV per formula unit.